1.
Compound: KSnHg3
Source: the Alexandria database
Functional: PBE
Structure: optimized geometry

POSCAR file:
```
KSnHg3
1.0
3.616 -5.478 0.000
3.616 5.478 0.000
0.000 0.000 8.018
K Sn Hg
2 2 6
Direct
0.240 0.760 0.750
0.760 0.240 0.250
0.378 0.622 0.250
0.622 0.378 0.750
0.116 0.884 0.250
0.257 0.257 0.000
0.257 0.257 0.500
0.743 0.743 0.000
0.743 0.743 0.500
0.884 0.116 0.750
```

Properties
ΔE to the lowest computed polymorph in meV/atom: 9

***

2.
Compound: K3SnHg3
Source: the Alexandria database
Functional: PBE
Structure: optimized geometry

POSCAR file:
```
K3SnHg3
1.0
6.365 -2.516 0.000
6.365 2.516 0.000
-6.000 0.000 16.032
K Sn Hg
6 2 6
Direct
0.023 0.023 0.385
0.108 0.108 0.921
0.256 0.256 0.237
0.744 0.744 0.763
0.892 0.892 0.079
0.977 0.977 0.615
0.256 0.256 0.594
0.744 0.744 0.406
0.372 0.372 0.463
0.396 0.396 0.921
0.454 0.454 0.763
0.546 0.546 0.237
0.604 0.604 0.079
0.628 0.628 0.537
```

***

3.
Compound: K4Sn21Hg2
Source: the Alexandria database
Functional: PBE
Structure: optimized geometry

POSCAR file:
```
K4Sn21Hg2
1.0
12.406 0.000 0.000
0.000 8.768 8.784
0.000 -8.768 8.784
K Sn Hg
8 42 4
Direct
0.000 0.000 0.000
0.250 0.292 0.545
0.250 0.528 0.026
0.250 0.764 0.548
0.500 0.000 0.000
0.750 0.026 0.528
0.750 0.545 0.292
0.750 0.548 0.764
0.057 0.027 0.411
0.065 0.708 0.211
0.066 0.028 0.646
0.066 0.708 0.846
0.067 0.346 0.213
0.069 0.343 0.844
0.132 0.527 0.716
0.133 0.528 0.342
0.250 0.027 0.277
0.250 0.211 0.910
0.250 0.220 0.144
0.250 0.833 0.144
0.250 0.838 0.909
0.367 0.528 0.342
0.368 0.527 0.716
0.431 0.343 0.844
0.433 0.346 0.213
0.434 0.028 0.646
0.434 0.708 0.846
0.435 0.708 0.211
0.443 0.027 0.411
0.557 0.411 0.027
0.565 0.211 0.708
0.566 0.646 0.028
0.566 0.846 0.708
0.567 0.213 0.346
0.569 0.844 0.343
0.632 0.716 0.527
0.633 0.342 0.528
0.750 0.144 0.220
0.750 0.144 0.833
0.750 0.277 0.027
0.750 0.909 0.838
0.750 0.910 0.211
0.867 0.342 0.528
0.868 0.716 0.527
0.931 0.844 0.343
0.933 0.213 0.346
0.934 0.646 0.028
0.934 0.846 0.708
0.935 0.211 0.708
0.943 0.411 0.027
0.000 0.529 0.529
0.250 0.025 0.779
0.500 0.529 0.529
0.750 0.779 0.025
```

***

One value per record, in order, for total magnetization: 0.00; 0.00; 0.00 Bohr magnetons per cell.
One value per record, in order, for DFT formation energy: -0.150; -0.229; -0.152 eV/atom.